1.
A plane-wave DFT calculation with PBE was carried out for Ga4NiPt after structural relaxation.

Output
DFT total energy   -4.449 eV per atom
Energy above the most stable polymorph in this dataset   0.0 meV/atom

```
data_Ga4NiPt
_chemical_formula_sum 'Ga4 Ni1 Pt1'
_symmetry_space_group_name_H-M 'P 4/m m m'
_symmetry_Int_Tables_number 123
_symmetry_space_group_name_Hall '-P 4 2'
_cell_length_a 4.1164
_cell_length_b 4.1164
_cell_length_c 5.9377
_cell_angle_alpha 90.00
_cell_angle_beta 90.00
_cell_angle_gamma 90.00
loop_
_atom_site_label
_atom_site_type_symbol
_atom_site_fract_x
_atom_site_fract_y
_atom_site_fract_z
Ga1 Ga 0.0000 0.5000 0.2317
Ni1 Ni 0.0000 0.0000 0.0000
Pt1 Pt 0.5000 0.5000 0.5000
```

2.
A plane-wave DFT calculation with PBE was carried out for Sb2AuSe after structural relaxation.

Output
Uncorrected formation energy   -63 meV/atom
DFT total energy   -3.815 eV per atom

```
data_Sb2AuSe
_chemical_formula_sum 'Sb4 Au2 Se2'
_symmetry_space_group_name_H-M 'I m m 2'
_symmetry_Int_Tables_number 44
_cell_length_a 3.6723
_cell_length_b 4.5530
_cell_length_c 11.7125
_cell_angle_alpha 90.00
_cell_angle_beta 90.00
_cell_angle_gamma 90.00
loop_
_symmetry_equiv_pos_as_xyz
'x,y,z'
'-x,-y,z'
'-x,y,z'
'x,-y,z'
'x+1/2,y+1/2,z+1/2'
'-x+1/2,-y+1/2,z+1/2'
'-x+1/2,y+1/2,z+1/2'
'x+1/2,-y+1/2,z+1/2'
loop_
_atom_site_label
_atom_site_type_symbol
_atom_site_fract_x
_atom_site_fract_y
_atom_site_fract_z
Sb1 Sb 0.0000 0.0000 0.0000
Sb2 Sb 0.0000 0.0000 0.2599
Au1 Au 0.0000 0.0000 0.7594
Se1 Se 0.0000 0.0000 0.5219
```

3.
A plane-wave DFT calculation with PBE was carried out for Pm4YAl4 after structural relaxation.

Output
DFT total energy   -4.645 eV per atom

```
data_Pm4YAl4
_chemical_formula_sum 'Pm8 Y2 Al8'
_symmetry_space_group_name_H-M 'P 42/n'
_symmetry_Int_Tables_number 86
_cell_length_a 8.8894
_cell_length_b 8.8894
_cell_length_c 6.0111
_cell_angle_alpha 90.00
_cell_angle_beta 90.00
_cell_angle_gamma 90.00
loop_
_symmetry_equiv_pos_as_xyz
'x,y,z'
'-x,-y,-z'
'-y,x+1/2,z+1/2'
'y,-x+1/2,-z+1/2'
'-x+1/2,-y+1/2,z'
'x+1/2,y+1/2,-z'
'y+1/2,-x,z+1/2'
'-y+1/2,x,-z+1/2'
loop_
_atom_site_label
_atom_site_type_symbol
_atom_site_fract_x
_atom_site_fract_y
_atom_site_fract_z
Pm1 Pm 0.0801 0.8245 0.1264
Y1 Y 0.2500 0.2500 0.7500
Al1 Al 0.0611 0.1578 0.3534
```

4.
A plane-wave DFT calculation with PBE was carried out for Pm4NdSm3Se8 after structural relaxation.

Output
Uncorrected formation energy   -1823 meV/atom
DFT total energy   -5.936 eV per atom

```
data_Pm4NdSm3Se8
_chemical_formula_sum 'Pm12 Nd3 Sm9 Se24'
_symmetry_space_group_name_H-M 'R -3 m'
_symmetry_Int_Tables_number 166
_symmetry_space_group_name_Hall '-R 3 2"'
_cell_length_a 8.3861
_cell_length_b 8.3861
_cell_length_c 20.5460
_cell_angle_alpha 90.00
_cell_angle_beta 90.00
_cell_angle_gamma 120.00
loop_
_atom_site_label
_atom_site_type_symbol
_atom_site_fract_x
_atom_site_fract_y
_atom_site_fract_z
Pm1 Pm 0.0000 0.0000 0.0000
Pm2 Pm 0.0000 0.5000 0.0000
Nd1 Nd 0.0000 0.0000 0.5000
Sm1 Sm 0.0000 0.5000 0.5000
Se1 Se 0.0000 0.0000 0.2493
Se2 Se 0.0024 0.5012 0.7501
```

5.
A plane-wave DFT calculation with PBE was carried out for BiTe2F after structural relaxation.

Output
Uncorrected formation energy   -450 meV/atom
DFT total energy   -3.459 eV per atom
Energy above the most stable polymorph in this dataset   0.0 meV/atom

```
data_BiTe2F
_chemical_formula_sum 'Bi3 Te6 F3'
_symmetry_space_group_name_H-M 'R -3 m'
_symmetry_Int_Tables_number 166
_symmetry_space_group_name_Hall '-R 3 2"'
_cell_length_a 4.3848
_cell_length_b 4.3848
_cell_length_c 24.9401
_cell_angle_alpha 90.00
_cell_angle_beta 90.00
_cell_angle_gamma 120.00
loop_
_atom_site_label
_atom_site_type_symbol
_atom_site_fract_x
_atom_site_fract_y
_atom_site_fract_z
Bi1 Bi 0.0000 0.0000 0.0000
Te1 Te 0.0000 0.0000 0.4090
F1 F 0.0000 0.0000 0.5000
```

6.
A plane-wave DFT calculation with PBE was carried out for Tb8Er2Th3 after structural relaxation.

Output
DFT total energy   -5.101 eV per atom
Energy above the most stable polymorph in this dataset   0.0 meV/atom

```
data_Tb8Er2Th3
_chemical_formula_sum 'Tb16 Er4 Th6'
_symmetry_space_group_name_H-M 'C 1 2/m 1'
_symmetry_Int_Tables_number 12
_cell_length_a 22.8770
_cell_length_b 6.7973
_cell_length_c 5.6308
_cell_angle_alpha 90.00
_cell_angle_beta 104.20
_cell_angle_gamma 90.00
loop_
_symmetry_equiv_pos_as_xyz
'x,y,z'
'-x,-y,-z'
'-x,y,-z'
'x,-y,z'
'x+1/2,y+1/2,z'
'-x+1/2,-y+1/2,-z'
'-x+1/2,y+1/2,-z'
'x+1/2,-y+1/2,z'
loop_
_atom_site_label
_atom_site_type_symbol
_atom_site_fract_x
_atom_site_fract_y
_atom_site_fract_z
Tb1 Tb 0.0751 0.0000 0.0756
Tb2 Tb 0.1509 0.2378 0.6516
Tb3 Tb 0.1843 0.5000 0.1848
Er1 Er 0.2234 0.0000 0.2237
Th1 Th 0.0000 0.2333 0.5000
Th2 Th 0.0000 0.5000 0.0000
```

7.
A plane-wave DFT calculation with PBE was carried out for TbMgHg3 after structural relaxation.

Output
DFT total energy   -1.610 eV per atom

```
data_TbMgHg3
_chemical_formula_sum 'Tb4 Mg4 Hg12'
_symmetry_space_group_name_H-M 'C 1 2/m 1'
_symmetry_Int_Tables_number 12
_cell_length_a 18.8041
_cell_length_b 5.4199
_cell_length_c 5.2094
_cell_angle_alpha 90.00
_cell_angle_beta 105.57
_cell_angle_gamma 90.00
loop_
_symmetry_equiv_pos_as_xyz
'x,y,z'
'-x,-y,-z'
'-x,y,-z'
'x,-y,z'
'x+1/2,y+1/2,z'
'-x+1/2,-y+1/2,-z'
'-x+1/2,y+1/2,-z'
'x+1/2,-y+1/2,z'
loop_
_atom_site_label
_atom_site_type_symbol
_atom_site_fract_x
_atom_site_fract_y
_atom_site_fract_z
Tb1 Tb 0.1097 0.0000 0.3651
Mg1 Mg 0.1236 0.5000 0.8753
Hg1 Hg 0.0327 0.5000 0.2824
Hg2 Hg 0.1954 0.0000 0.9473
Hg3 Hg 0.2084 0.5000 0.4593
```

8.
A plane-wave DFT calculation with PBE was carried out for Li2CaCuC after structural relaxation.

Output
DFT total energy   -3.577 eV per atom

```
data_Li2CaCuC
_chemical_formula_sum 'Li2 Ca1 Cu1 C1'
_symmetry_space_group_name_H-M 'P 4/m m m'
_symmetry_Int_Tables_number 123
_symmetry_space_group_name_Hall '-P 4 2'
_cell_length_a 4.3348
_cell_length_b 4.3348
_cell_length_c 3.8795
_cell_angle_alpha 90.00
_cell_angle_beta 90.00
_cell_angle_gamma 90.00
loop_
_atom_site_label
_atom_site_type_symbol
_atom_site_fract_x
_atom_site_fract_y
_atom_site_fract_z
Li1 Li 0.0000 0.5000 0.0000
Ca1 Ca 0.0000 0.0000 0.5000
Cu1 Cu 0.5000 0.5000 0.5000
C1 C 0.5000 0.5000 0.0000
```

9.
A plane-wave DFT calculation with PBE was carried out for RbTlAu after structural relaxation.

Output
DFT total energy   -2.377 eV per atom
Energy above the most stable polymorph in this dataset   31.1 meV/atom

```
data_RbTlAu
_chemical_formula_sum 'Rb2 Tl2 Au2'
_symmetry_space_group_name_H-M 'P -1'
_symmetry_Int_Tables_number 2
_cell_length_a 4.9150
_cell_length_b 6.4947
_cell_length_c 7.9977
_cell_angle_alpha 66.07
_cell_angle_beta 72.17
_cell_angle_gamma 89.99
loop_
_symmetry_equiv_pos_as_xyz
'x,y,z'
'-x,-y,-z'
loop_
_atom_site_label
_atom_site_type_symbol
_atom_site_fract_x
_atom_site_fract_y
_atom_site_fract_z
Rb1 Rb 0.1165 0.3668 0.2656
Tl1 Tl 0.4141 0.1650 0.6707
Au1 Au 0.1979 0.9472 0.1048
```

10.
A plane-wave DFT calculation with PBE was carried out for BaPmI4 after structural relaxation.

Output
Uncorrected formation energy   -1519 meV/atom
DFT total energy   -3.664 eV per atom

```
data_BaPmI4
_chemical_formula_sum 'Ba4 Pm4 I16'
_symmetry_space_group_name_H-M 'C 1 2/c 1'
_symmetry_Int_Tables_number 15
_cell_length_a 10.3793
_cell_length_b 15.2652
_cell_length_c 7.3743
_cell_angle_alpha 90.00
_cell_angle_beta 122.13
_cell_angle_gamma 90.00
loop_
_symmetry_equiv_pos_as_xyz
'x,y,z'
'-x,-y,-z'
'-x,y,-z+1/2'
'x,-y,z+1/2'
'x+1/2,y+1/2,z'
'-x+1/2,-y+1/2,-z'
'-x+1/2,y+1/2,-z+1/2'
'x+1/2,-y+1/2,z+1/2'
loop_
_atom_site_label
_atom_site_type_symbol
_atom_site_fract_x
_atom_site_fract_y
_atom_site_fract_z
Ba1 Ba 0.0000 0.1350 0.2500
Pm1 Pm 0.0000 0.4973 0.2500
I1 I 0.1143 0.3287 0.5854
I2 I 0.2091 0.0627 0.7860
```

11.
A plane-wave DFT calculation with PBE was carried out for LaCeDyY2 after structural relaxation.

Output
DFT total energy   -5.384 eV per atom

```
data_LaCeDyY2
_chemical_formula_sum 'La2 Ce2 Dy2 Y4'
_symmetry_space_group_name_H-M 'P 1 2/c 1'
_symmetry_Int_Tables_number 13
_cell_length_a 8.6955
_cell_length_b 6.2182
_cell_length_c 6.1181
_cell_angle_alpha 90.00
_cell_angle_beta 92.75
_cell_angle_gamma 90.00
loop_
_symmetry_equiv_pos_as_xyz
'x,y,z'
'-x,-y,-z'
'-x,y,-z+1/2'
'x,-y,z+1/2'
loop_
_atom_site_label
_atom_site_type_symbol
_atom_site_fract_x
_atom_site_fract_y
_atom_site_fract_z
La1 La 0.0000 0.0000 0.0000
Ce1 Ce 0.0000 0.4633 0.2500
Dy1 Dy 0.5000 0.1762 0.2500
Y1 Y 0.3118 0.3123 0.7353
```

12.
A plane-wave DFT calculation with PBE was carried out for Sr7HgN2 after structural relaxation.

Output
Uncorrected formation energy   -304 meV/atom
DFT total energy   -3.177 eV per atom

```
data_Sr7HgN2
_chemical_formula_sum 'Sr14 Hg2 N4'
_symmetry_space_group_name_H-M 'C m m m'
_symmetry_Int_Tables_number 65
_symmetry_space_group_name_Hall '-C 2 2'
_cell_length_a 11.1254
_cell_length_b 17.5703
_cell_length_c 4.1548
_cell_angle_alpha 90.00
_cell_angle_beta 90.00
_cell_angle_gamma 90.00
loop_
_atom_site_label
_atom_site_type_symbol
_atom_site_fract_x
_atom_site_fract_y
_atom_site_fract_z
Sr1 Sr 0.0000 0.0000 0.0000
Sr2 Sr 0.0000 0.2244 0.5000
Sr3 Sr 0.1696 0.3792 0.0000
Hg1 Hg 0.0000 0.5000 0.5000
N1 N 0.0000 0.2994 0.0000
```